A relaxed KAg3As crystal. Source: the Alexandria database, functional GGA-PBE.

Cell: 5.160 5.160 5.160 Å, 90.00 90.00 90.00°
Positions (direct):
1 K 0.000 0.000 0.000
2 Ag 0.000 0.500 0.500
3 Ag 0.500 0.000 0.500
4 Ag 0.500 0.500 0.000
5 As 0.500 0.500 0.500

As for the formation energy: 0.07 eV/atom. As for the offset from the most stable computed form: 0 meV/atom.

=====

A relaxed KAgAs3 crystal. Source: the Alexandria database, functional GGA-PBE.

Cell: 5.167 5.167 5.167 Å, 90.00 90.00 90.00°
Positions (direct):
1 K 0.000 0.000 0.000
2 Ag 0.500 0.500 0.500
3 As 0.000 0.500 0.500
4 As 0.500 0.000 0.500
5 As 0.500 0.500 0.000

As for the formation energy: 0.44 eV/atom. As for the offset from the most stable computed form: 0 meV/atom.

=====

A relaxed KAg2As2 crystal. Source: the Alexandria database, functional GGA-PBE.

Cell: 6.204 6.204 6.204 Å, 132.97 132.97 68.70°
Positions (direct):
1 K 0.000 0.000 0.000
2 Ag 0.346 0.346 0.000
3 Ag 0.654 0.654 0.000
4 As 0.250 0.750 0.500
5 As 0.750 0.250 0.500

As for the formation energy: -0.03 eV/atom. As for the offset from the most stable computed form: 161 meV/atom.

=====

A relaxed K2AgAs crystal. Source: the Alexandria database, functional GGA-PBE.

Cell: 4.746 6.088 6.088 Å, 53.03 90.00 90.00°
Positions (direct):
1 K 0.000 0.000 0.000
2 K 0.500 0.297 0.297
3 Ag 0.000 0.682 0.682
4 As 0.500 0.609 0.609

As for the formation energy: -0.31 eV/atom.

=====

A relaxed KAg6As2 crystal. Source: the Alexandria database, functional GGA-PBE.

Cell: 4.556 4.556 9.081 Å, 90.00 90.00 90.00°
Positions (direct):
1 K 0.000 0.000 0.000
2 Ag 0.000 0.000 0.500
3 Ag 0.000 0.500 0.300
4 Ag 0.000 0.500 0.700
5 Ag 0.500 0.000 0.300
6 Ag 0.500 0.000 0.700
7 Ag 0.500 0.500 0.500
8 As 0.500 0.500 0.145
9 As 0.500 0.500 0.855

As for the formation energy: -0.06 eV/atom.

=====

A relaxed KAgAs2 crystal. Source: the Alexandria database, functional GGA-PBE.

Cell: 3.605 3.605 7.766 Å, 90.00 90.00 90.00°
Positions (direct):
1 K 0.000 0.000 0.000
2 Ag 0.500 0.500 0.328
3 As 0.000 0.000 0.548
4 As 0.500 0.500 0.683

As for the formation energy: 0.08 eV/atom. As for the offset from the most stable computed form: 241 meV/atom.

=====

A relaxed K2AgAs crystal. Source: the Alexandria database, functional GGA-PBE.

Cell: 6.023 6.023 6.023 Å, 134.14 121.95 76.96°
Positions (direct):
1 K 0.000 0.000 0.000
2 K 0.686 0.186 0.500
3 Ag 0.302 0.802 0.500
4 As 0.394 0.394 0.000

As for the formation energy: -0.30 eV/atom.

=====

A relaxed K2AgAs crystal. Source: the Alexandria database, functional GGA-PBE.

Cell: 9.321 9.321 9.321 Å, 94.02 94.02 149.28°
Positions (direct):
1 K 0.375 0.095 0.220
2 K 0.845 0.625 0.720
3 K 0.875 0.155 0.780
4 K 0.905 0.125 0.280
5 Ag 0.250 0.750 0.500
6 Ag 0.500 0.500 0.000
7 As 0.000 0.000 0.000
8 As 0.750 0.250 0.500

As for the formation energy: -0.20 eV/atom.

=====

A relaxed K4AgAs crystal. Source: the Alexandria database, functional GGA-PBE.

Cell: 6.730 6.730 6.730 Å, 60.00 60.00 60.00°
Positions (direct):
1 K 0.125 0.125 0.125
2 K 0.125 0.125 0.624
3 K 0.125 0.624 0.125
4 K 0.624 0.125 0.125
5 Ag 0.750 0.750 0.750
6 As 0.500 0.500 0.500

As for the formation energy: 0.37 eV/atom.

=====

A relaxed KAg2As2 crystal. Source: the Alexandria database, functional GGA-PBE.

Cell: 6.328 6.328 6.328 Å, 137.15 137.15 62.21°
Positions (direct):
1 K 0.000 0.000 0.000
2 Ag 0.250 0.750 0.500
3 Ag 0.750 0.250 0.500
4 As 0.385 0.385 0.000
5 As 0.615 0.615 0.000

As for the formation energy: -0.19 eV/atom. As for the offset from the most stable computed form: 0 meV/atom.

=====

A relaxed KAgAs2 crystal. Source: the Alexandria database, functional GGA-PBE.

Cell: 5.027 5.027 5.027 Å, 60.00 60.00 60.00°
Positions (direct):
1 K 0.000 0.000 0.000
2 Ag 0.500 0.500 0.500
3 As 0.250 0.250 0.250
4 As 0.750 0.750 0.750

As for the formation energy: 0.27 eV/atom. As for the offset from the most stable computed form: 437 meV/atom.

=====

A relaxed KAg2As2 crystal. Source: the Alexandria database, functional GGA-PBE.

Cell: 8.549 8.549 2.974 Å, 90.00 90.00 90.00°
Positions (direct):
1 K 0.000 0.000 0.000
2 K 0.500 0.500 0.000
3 Ag 0.144 0.356 0.500
4 Ag 0.356 0.856 0.500
5 Ag 0.644 0.144 0.500
6 Ag 0.856 0.644 0.500
7 As 0.150 0.650 0.000
8 As 0.350 0.150 0.000
9 As 0.650 0.850 0.000
10 As 0.850 0.350 0.000

As for the formation energy: 0.01 eV/atom. As for the offset from the most stable computed form: 201 meV/atom.